# 1
An optimized crystal structure of Na2TmPaO5, computed with PBE-GGA.

Computed properties:
E_form (uncorrected), meV/atom: -2616.8
Fermi-level density of states, states/eV per atom: 0.000

Geometry as CIF:
```
data_Na2TmPaO5
_symmetry_space_group_name_H-M 'P 4/m m m'
_symmetry_Int_Tables_number 123
_symmetry_space_group_name_Hall '-P 4 2'
_cell_length_a 4.188
_cell_length_b 4.188
_cell_length_c 8.621
_cell_angle_alpha 90.00
_cell_angle_beta 90.00
_cell_angle_gamma 90.00
loop_
_atom_site_label
_atom_site_fract_x
_atom_site_fract_y
_atom_site_fract_z
Na1 0.000 0.000 0.236
Tm1 0.500 0.500 0.500
Pa1 0.500 0.500 0.000
O1 0.000 0.000 0.500
O2 0.000 0.500 0.000
O3 0.500 0.500 0.257
```



# 2
An optimized crystal structure of NdGa5Ru2, computed with PBE-GGA.

Computed properties:
DFT formation energy, eV/atom: -0.408
Fermi-level density of states, states/eV per atom: 0.420

Geometry as CIF:
```
data_NdGa5Ru2
_symmetry_space_group_name_H-M 'I m m m'
_symmetry_Int_Tables_number 71
_symmetry_space_group_name_Hall '-I 2 2'
_cell_length_a 4.007
_cell_length_b 7.056
_cell_length_c 10.402
_cell_angle_alpha 90.00
_cell_angle_beta 90.00
_cell_angle_gamma 90.00
loop_
_atom_site_label
_atom_site_fract_x
_atom_site_fract_y
_atom_site_fract_z
Nd1 0.000 0.000 0.000
Ga1 0.000 0.197 0.353
Ga2 0.000 0.500 0.000
Ru1 0.000 0.500 0.233
```



# 3
An optimized crystal structure of NaAc2Tl4, computed with PBE-GGA.

Computed properties:
DFT formation energy, eV/atom: -0.277
Energy above the most stable polymorph in this dataset, meV per atom: 0
Fermi-level density of states, states/eV per atom: 0.384

Geometry as CIF:
```
data_NaAc2Tl4
_symmetry_space_group_name_H-M 'R -3 m'
_symmetry_Int_Tables_number 166
_symmetry_space_group_name_Hall '-R 3 2"'
_cell_length_a 5.3648
_cell_length_b 5.3648
_cell_length_c 27.1906
_cell_angle_alpha 90.00
_cell_angle_beta 90.00
_cell_angle_gamma 120.00
loop_
_atom_site_label
_atom_site_fract_x
_atom_site_fract_y
_atom_site_fract_z
Na1 0.0000 0.0000 0.0000
Ac1 0.0000 0.0000 0.4254
Tl1 0.0000 0.0000 0.1492
Tl2 0.0000 0.0000 0.2977
```



# 4
An optimized crystal structure of TaC2I, computed with PBE-GGA.

Computed properties:
Energy above the most stable polymorph in this dataset, meV per atom: 0
E_form (uncorrected), meV/atom: 1391.9
Fermi-level density of states, states/eV per atom: 0.746

Geometry as CIF:
```
data_TaC2I
_symmetry_space_group_name_H-M 'I -4 2 d'
_symmetry_Int_Tables_number 122
_symmetry_space_group_name_Hall 'I -4 2bw'
_cell_length_a 5.571
_cell_length_b 5.571
_cell_length_c 9.933
_cell_angle_alpha 90.00
_cell_angle_beta 90.00
_cell_angle_gamma 90.00
loop_
_atom_site_label
_atom_site_fract_x
_atom_site_fract_y
_atom_site_fract_z
Ta1 0.000 0.000 0.000
C1 0.152 0.250 0.125
I1 0.000 0.000 0.500
```



# 5
An optimized crystal structure of PIrBr2, computed with PBE-GGA.

Computed properties:
Energy above the most stable polymorph in this dataset, meV per atom: 642
E_form (uncorrected), meV/atom: 206.6
Fermi-level density of states, states/eV per atom: 0.502

Geometry as CIF:
```
data_PIrBr2
_symmetry_space_group_name_H-M 'P 4 m m'
_symmetry_Int_Tables_number 99
_cell_length_a 2.893
_cell_length_b 2.893
_cell_length_c 12.308
_cell_angle_alpha 90.00
_cell_angle_beta 90.00
_cell_angle_gamma 90.00
loop_
_symmetry_equiv_pos_as_xyz
'x,y,z'
'-y,x,z'
'-x,-y,z'
'y,-x,z'
'-x,y,z'
'y,x,z'
'x,-y,z'
'-y,-x,z'
loop_
_atom_site_label
_atom_site_fract_x
_atom_site_fract_y
_atom_site_fract_z
P1 0.000 0.000 0.000
Ir1 0.500 0.500 0.899
Br1 0.000 0.000 0.645
Br2 0.500 0.500 0.306
```



# 6
An optimized crystal structure of PmHoAlSi, computed with PBE-GGA.

Computed properties:
Energy above the most stable polymorph in this dataset, meV per atom: 274
E_form (uncorrected), meV/atom: -354.1
Fermi-level density of states, states/eV per atom: 0.678

Geometry as CIF:
```
data_PmHoAlSi
_symmetry_space_group_name_H-M 'F -4 3 m'
_symmetry_Int_Tables_number 216
_symmetry_space_group_name_Hall 'F -4 2 3'
_cell_length_a 7.206
_cell_length_b 7.206
_cell_length_c 7.206
_cell_angle_alpha 90.00
_cell_angle_beta 90.00
_cell_angle_gamma 90.00
loop_
_atom_site_label
_atom_site_fract_x
_atom_site_fract_y
_atom_site_fract_z
Pm1 0.000 0.000 0.000
Ho1 0.000 0.000 0.500
Al1 0.250 0.250 0.750
Si1 0.250 0.250 0.250
```



# 7
An optimized crystal structure of Co2TcRh, computed with PBE-GGA.

Computed properties:
DFT formation energy, eV/atom: 0.062
Energy above the most stable polymorph in this dataset, meV per atom: 28
Fermi-level density of states, states/eV per atom: 1.250

Geometry as CIF:
```
data_Co2TcRh
_symmetry_space_group_name_H-M 'C 1 m 1'
_symmetry_Int_Tables_number 8
_cell_length_a 8.697
_cell_length_b 2.642
_cell_length_c 4.470
_cell_angle_alpha 90.00
_cell_angle_beta 100.79
_cell_angle_gamma 90.00
loop_
_symmetry_equiv_pos_as_xyz
'x,y,z'
'x,-y,z'
'x+1/2,y+1/2,z'
'x+1/2,-y+1/2,z'
loop_
_atom_site_label
_atom_site_fract_x
_atom_site_fract_y
_atom_site_fract_z
Co1 0.000 0.000 0.000
Co2 0.240 0.500 0.226
Tc1 0.248 0.000 0.748
Rh1 0.492 0.000 0.490
```



# 8
An optimized crystal structure of Si3IrCl, computed with PBE-GGA.

Computed properties:
Energy above the most stable polymorph in this dataset, meV per atom: 1190
E_form (uncorrected), meV/atom: 1418.3
Fermi-level density of states, states/eV per atom: 0.831

Geometry as CIF:
```
data_Si3IrCl
_symmetry_space_group_name_H-M 'P m -3 m'
_symmetry_Int_Tables_number 221
_symmetry_space_group_name_Hall '-P 4 2 3'
_cell_length_a 4.400
_cell_length_b 4.400
_cell_length_c 4.400
_cell_angle_alpha 90.00
_cell_angle_beta 90.00
_cell_angle_gamma 90.00
loop_
_atom_site_label
_atom_site_fract_x
_atom_site_fract_y
_atom_site_fract_z
Si1 0.000 0.000 0.500
Ir1 0.500 0.500 0.500
Cl1 0.000 0.000 0.000
```



# 9
An optimized crystal structure of NaPrC3N6, computed with PBE-GGA.

Computed properties:
E_form (uncorrected), meV/atom: -143.6
Fermi-level density of states, states/eV per atom: 0.474

Geometry as CIF:
```
data_NaPrC3N6
_symmetry_space_group_name_H-M 'R 3 2'
_symmetry_Int_Tables_number 155
_symmetry_space_group_name_Hall 'R 3 2"'
_cell_length_a 10.0545
_cell_length_b 10.0545
_cell_length_c 6.8381
_cell_angle_alpha 90.00
_cell_angle_beta 90.00
_cell_angle_gamma 120.00
loop_
_atom_site_label
_atom_site_fract_x
_atom_site_fract_y
_atom_site_fract_z
Na1 0.0000 0.0000 0.0000
Pr1 0.0000 0.0000 0.5000
C1 0.0000 0.4992 0.5000
N1 0.1051 0.2120 0.7413
```



# 10
An optimized crystal structure of PuZrZnOs, computed with PBE-GGA.

Computed properties:
DFT formation energy, eV/atom: -0.103
Fermi-level density of states, states/eV per atom: 1.753

Geometry as CIF:
```
data_PuZrZnOs
_symmetry_space_group_name_H-M 'F -4 3 m'
_symmetry_Int_Tables_number 216
_symmetry_space_group_name_Hall 'F -4 2 3'
_cell_length_a 6.777
_cell_length_b 6.777
_cell_length_c 6.777
_cell_angle_alpha 90.00
_cell_angle_beta 90.00
_cell_angle_gamma 90.00
loop_
_atom_site_label
_atom_site_fract_x
_atom_site_fract_y
_atom_site_fract_z
Pu1 0.000 0.000 0.000
Zr1 0.000 0.000 0.500
Zn1 0.250 0.250 0.750
Os1 0.250 0.250 0.250
```



# 11
An optimized crystal structure of Tb2Nd3Sm6Ho, computed with PBE-GGA.

Computed properties:
DFT formation energy, eV/atom: 0.015
Fermi-level density of states, states/eV per atom: 1.393

Geometry as CIF:
```
data_Tb2Nd3Sm6Ho
_symmetry_space_group_name_H-M 'C 1 2/m 1'
_symmetry_Int_Tables_number 12
_cell_length_a 6.277
_cell_length_b 10.871
_cell_length_c 12.005
_cell_angle_alpha 90.00
_cell_angle_beta 100.04
_cell_angle_gamma 90.00
loop_
_symmetry_equiv_pos_as_xyz
'x,y,z'
'-x,-y,-z'
'-x,y,-z'
'x,-y,z'
'x+1/2,y+1/2,z'
'-x+1/2,-y+1/2,-z'
'-x+1/2,y+1/2,-z'
'x+1/2,-y+1/2,z'
loop_
_atom_site_label
_atom_site_fract_x
_atom_site_fract_y
_atom_site_fract_z
Tb1 0.000 0.167 0.000
Nd1 0.000 0.000 0.500
Nd2 0.000 0.333 0.500
Sm1 0.249 0.000 0.246
Sm2 0.249 0.333 0.246
Ho1 0.000 0.500 0.000
```



# 12
An optimized crystal structure of Tm2ScTa, computed with PBE-GGA.

Computed properties:
DFT formation energy, eV/atom: 0.527
Fermi-level density of states, states/eV per atom: 1.221

Geometry as CIF:
```
data_Tm2ScTa
_symmetry_space_group_name_H-M 'R -3 m'
_symmetry_Int_Tables_number 166
_symmetry_space_group_name_Hall '-R 3 2"'
_cell_length_a 3.1770
_cell_length_b 3.1770
_cell_length_c 33.9073
_cell_angle_alpha 90.00
_cell_angle_beta 90.00
_cell_angle_gamma 120.00
loop_
_atom_site_label
_atom_site_fract_x
_atom_site_fract_y
_atom_site_fract_z
Tm1 0.0000 0.0000 0.0869
Sc1 0.0000 0.0000 0.5000
Ta1 0.0000 0.0000 0.0000
```



Question: Which of these has the highest Fermi-level density of states?
Answer: PuZrZnOs



Question: What is the formula in the second record?
Answer: NdGa5Ru2



Question: Look up the Fermi-level density of states of the third one.
Answer: 0.384 states/eV per atom



Question: Among the records above, which one has the lowest Fermi-level density of states?
Answer: Na2TmPaO5